1.
{"formula": "AcLaPr2", "functional": "PBE-GGA", "state": "relaxed", "polymorph_energy_mev_per_atom": 111, "e_form_ev_per_fu": 0.49, "magnetic_moment_mub_per_fu": 0.0, "final_energy_ev_per_atom": -4.5260, "lattice": [[6.035, 0.000, 0.000], [3.018, 5.227, 0.000], [3.018, 1.742, 4.928]], "species": ["La", "Pr", "Ac", "Pr"], "fractional_positions": [[0.500, 0.500, 0.500], [0.250, 0.250, 0.250], [0.000, 0.000, 0.000], [0.750, 0.750, 0.750]]}

=====

2.
{"formula": "La2Pm6Tm", "functional": "PBE-GGA", "state": "relaxed", "polymorph_energy_mev_per_atom": 39, "e_form_ev_per_fu": 0.55, "magnetic_moment_mub_per_fu": 0.0, "final_energy_ev_per_atom": -4.6978, "lattice": [[-1.874, 3.132, -0.104], [-1.772, -3.178, 0.299], [1.424, 1.752, 27.073]], "species": ["Pm", "Pm", "Pm", "La", "Pm", "Pm", "Pm", "Tm", "La"], "fractional_positions": [[0.333, 0.667, 0.438], [0.333, 0.667, 0.562], [0.667, 0.333, 0.105], [0.667, 0.333, 0.671], [0.333, 0.667, 0.787], [0.667, 0.333, 0.895], [0.333, 0.667, 0.213], [0.333, 0.667, 0.000], [0.667, 0.333, 0.329]]}

=====

3.
{"formula": "K2MgCr", "functional": "PBE-GGA", "state": "relaxed", "e_form_ev_per_fu": 2.54, "magnetic_moment_mub_per_fu": 5.0, "final_energy_ev_per_atom": -2.7186, "lattice": [[-0.956, 5.668, 4.194], [-2.721, 3.113, 5.792], [4.643, -0.175, 4.852]], "species": ["K", "Mg", "K", "Cr"], "fractional_positions": [[0.970, 0.970, 0.064], [0.548, 0.548, 0.504], [0.774, 0.774, 0.696], [0.208, 0.208, 0.236]]}

=====

4.
{"formula": "CsLaYBi2", "functional": "PBE-GGA", "state": "relaxed", "e_form_ev_per_fu": 1.06, "magnetic_moment_mub_per_fu": 0.0, "final_energy_ev_per_atom": -3.7898, "lattice": [[6.329, 0.000, 0.000], [0.000, 6.024, 0.000], [0.000, 0.000, 6.329]], "species": ["Bi", "Y", "Bi", "Cs", "La"], "fractional_positions": [[0.000, 0.000, 0.500], [0.000, 0.500, 0.000], [0.500, 0.000, 0.000], [0.500, 0.500, 0.500], [0.000, 0.000, 0.000]]}